[1]
First-principles (GGA-PBE) data for crystalline Rb2GaSeBr6 at its relaxed geometry, as listed in Alexandria.

The value obtained for the total magnetization is 0.0 μB per formula unit. The uncorrected formation energy comes out at -20.726 kcal/mol of atoms.

The space group is I4/mmm (No. 139) and the conventional cell measures 7.9354, 7.9354 and 10.9190 Å, with angles of 90.00, 90.00 and 90.00 degrees. The inequivalent atoms are Rb at (0.0000, 0.5000, 0.2500), Ga at (0.0000, 0.0000, 0.0000), Se at (0.0000, 0.0000, 0.5000), Br at (0.0000, 0.0000, 0.2634) and Br at (0.2273, 0.2273, 0.0000).

=====

[2]
First-principles (GGA-PBE) data for crystalline TbB3Ir6 at its relaxed geometry, as listed in Alexandria.

The value obtained for the total magnetization is 0.0 μB per formula unit. As for the formation energy: -3.24 eV per formula unit.

The space group is R3 (No. 146, hexagonal axes) and the conventional cell measures 5.4848, 5.4848 and 15.7716 Å, with angles of 90.00, 90.00 and 120.00 degrees. The inequivalent atoms are Tb at (0.0000, 0.0000, 0.0000), B at (0.0000, 0.0000, 0.1681), B at (0.0000, 0.0000, 0.3658), B at (0.0000, 0.0000, 0.6993), Ir at (0.0015, 0.4351, 0.1220) and Ir at (0.1658, 0.3343, 0.2695).

=====

[3]
First-principles (GGA-PBE) data for crystalline FeAsP at its relaxed geometry, as listed in Alexandria.

The value obtained for the total magnetization is 2.0 μB per formula unit. As for the formation energy: 1.32 eV per formula unit.

The space group is F-43m (No. 216) and the conventional cell measures 5.7853, 5.7853 and 5.7853 Å, with angles of 90.00, 90.00 and 90.00 degrees. The inequivalent atoms are Fe at (0.0000, 0.0000, 0.0000), As at (0.0000, 0.0000, 0.5000) and P at (0.2500, 0.2500, 0.7500).

=====

[4]
First-principles (GGA-PBE) data for crystalline LuPa2Rh at its relaxed geometry, as listed in Alexandria.

The value obtained for the total magnetization is 0.0 μB per formula unit. As for the formation energy: 0.18 eV per formula unit.

The space group is R-3m (No. 166, hexagonal axes) and the conventional cell measures 3.1602, 3.1602 and 32.2866 Å, with angles of 90.00, 90.00 and 120.00 degrees. The inequivalent atoms are Lu at (0.0000, 0.0000, 0.0000), Pa at (0.0000, 0.0000, 0.0954) and Rh at (0.0000, 0.0000, 0.5000).

=====

[5]
First-principles (GGA-PBE) data for crystalline Ac2TlAgO6 at its relaxed geometry, as listed in Alexandria.

The value obtained for the total magnetization is 0.3 μB per formula unit. The uncorrected formation energy comes out at -39.092 kcal/mol of atoms.

The space group is P4mm (No. 99) and the conventional cell measures 5.6336, 5.6336 and 5.4696 Å, with angles of 90.00, 90.00 and 90.00 degrees. The inequivalent atoms are Ac at (0.0000, 0.5000, 0.0000), Tl at (0.0000, 0.0000, 0.5234), Ag at (0.5000, 0.5000, 0.6367), O at (0.0000, 0.0000, 0.1341), O at (0.2474, 0.2474, 0.7140) and O at (0.5000, 0.5000, 0.1369).

=====

[6]
First-principles (GGA-PBE) data for crystalline TmHfInHg at its relaxed geometry, as listed in Alexandria.

The value obtained for the total magnetization is 0.0 μB per formula unit. As for the formation energy: -0.70 eV per formula unit.

The space group is F-43m (No. 216) and the conventional cell measures 7.1814, 7.1814 and 7.1814 Å, with angles of 90.00, 90.00 and 90.00 degrees. The inequivalent atoms are Tm at (0.0000, 0.0000, 0.0000), Hf at (0.0000, 0.0000, 0.5000), In at (0.2500, 0.2500, 0.2500) and Hg at (0.2500, 0.2500, 0.7500).

=====

[7]
First-principles (GGA-PBE) data for crystalline CsYC at its relaxed geometry, as listed in Alexandria.

The value obtained for the total magnetization is 0.0 μB per formula unit. As for the formation energy: 1.70 eV per formula unit.

The space group is Pnma (No. 62) and the conventional cell measures 7.4942, 3.9030 and 13.9153 Å, with angles of 90.00, 90.00 and 90.00 degrees. The inequivalent atoms are Cs at (0.0643, 0.2500, 0.2257), Y at (0.1747, 0.2500, 0.4872) and C at (0.0755, 0.7500, 0.4112).

=====

[8]
First-principles (GGA-PBE) data for crystalline ErBiPd at its relaxed geometry, as listed in Alexandria.

The value obtained for the total magnetization is 0.0 μB per formula unit. As for the formation energy: -1.96 eV per formula unit.

The space group is C2/m (No. 12) and the conventional cell measures 5.1781, 5.1775 and 11.5619 Å, with angles of 90.00, 90.21 and 90.00 degrees. The inequivalent atoms are Er at (0.2485, 0.0000, 0.3213), Bi at (0.2470, 0.5000, 0.1411) and Pd at (0.2494, 0.5000, 0.4313).

=====

[9]
First-principles (GGA-PBE) data for crystalline Na2LiIn2Te4 at its relaxed geometry, as listed in Alexandria.

The value obtained for the total magnetization is 0.0 μB per formula unit. The uncorrected formation energy comes out at -12.802 kcal/mol of atoms.

The space group is C2/m (No. 12) and the conventional cell measures 15.5900, 5.0584 and 7.5596 Å, with angles of 90.00, 93.04 and 90.00 degrees. The inequivalent atoms are Na at (0.1303, 0.0000, 0.0979), Li at (0.0000, 0.0000, 0.5000), In at (0.1472, 0.5000, 0.5447), Te at (0.0312, 0.5000, 0.2438) and Te at (0.1946, 0.0000, 0.7069).

=====

[10]
First-principles (GGA-PBE) data for crystalline Cs2LiCuH at its relaxed geometry, as listed in Alexandria.

As for the energy: -1.89 eV per atom. The value obtained for the total magnetization is 0.0 μB per formula unit.

The space group is P4/mmm (No. 123) and the conventional cell measures 6.8453, 6.8453 and 3.7181 Å, with angles of 90.00, 90.00 and 90.00 degrees. The inequivalent atoms are Cs at (0.0000, 0.5000, 0.0000), Li at (0.0000, 0.0000, 0.0000), Cu at (0.5000, 0.5000, 0.5000) and H at (0.0000, 0.0000, 0.5000).

=====

[11]
First-principles (GGA-PBE) data for crystalline BaCd2GaNi at its relaxed geometry, as listed in Alexandria.

The value obtained for the total magnetization is 0.0 μB per formula unit. As for the formation energy: -1.22 eV per formula unit.

The space group is P4/mmm (No. 123) and the conventional cell measures 5.1354, 5.1354 and 4.7482 Å, with angles of 90.00, 90.00 and 90.00 degrees. The inequivalent atoms are Ba at (0.0000, 0.0000, 0.0000), Cd at (0.0000, 0.5000, 0.5000), Ga at (0.5000, 0.5000, 0.0000) and Ni at (0.5000, 0.5000, 0.5000).

=====

[12]
First-principles (GGA-PBE) data for crystalline ScTa2W at its relaxed geometry, as listed in Alexandria.

The value obtained for the total magnetization is 0.0 μB per formula unit. As for the formation energy: 1.41 eV per formula unit.

The space group is R-3m (No. 166, hexagonal axes) and the conventional cell measures 2.9151, 2.9151 and 30.4831 Å, with angles of 90.00, 90.00 and 120.00 degrees. The inequivalent atoms are Sc at (0.0000, 0.0000, 0.0000), Ta at (0.0000, 0.0000, 0.2475) and W at (0.0000, 0.0000, 0.5000).

=====

[13]
First-principles (GGA-PBE) data for crystalline Nd2HoSc at its relaxed geometry, as listed in Alexandria.

The value obtained for the total magnetization is 0.0 μB per formula unit. As for the formation energy: 0.16 eV per formula unit.

The space group is Cmcm (No. 63) and the conventional cell measures 7.2350, 12.4106 and 5.6498 Å, with angles of 90.00, 90.00 and 90.00 degrees. The inequivalent atoms are Nd at (0.2463, 0.0867, 0.2500), Ho at (0.0000, 0.3304, 0.2500) and Sc at (0.0000, 0.1681, 0.7500).